No. 1
# Cu4NiPb

A geometry-optimized Cu4NiPb structure (PBE, the Alexandria database).

Geometry as CIF:
```
data_Cu4NiPb
_chemical_formula_sum 'Cu16 Ni4 Pb4'
_symmetry_space_group_name_H-M 'F -4 3 m'
_symmetry_Int_Tables_number 216
_symmetry_space_group_name_Hall 'F -4 2 3'
_cell_length_a 7.001
_cell_length_b 7.001
_cell_length_c 7.001
_cell_angle_alpha 90.00
_cell_angle_beta 90.00
_cell_angle_gamma 90.00
loop_
_atom_site_label
_atom_site_type_symbol
_atom_site_fract_x
_atom_site_fract_y
_atom_site_fract_z
Cu1 Cu 0.124 0.124 0.376
Ni1 Ni 0.250 0.250 0.750
Pb1 Pb 0.000 0.000 0.000
```

Summary:
final energy = -98.39 eV for the cell shown



No. 2
# CuNiPb2

A geometry-optimized CuNiPb2 structure (PBE, the Alexandria database).

Geometry as CIF:
```
data_CuNiPb2
_chemical_formula_sum 'Cu1 Ni1 Pb2'
_symmetry_space_group_name_H-M 'P 4/m m m'
_symmetry_Int_Tables_number 123
_symmetry_space_group_name_Hall '-P 4 2'
_cell_length_a 3.408
_cell_length_b 3.408
_cell_length_c 6.833
_cell_angle_alpha 90.00
_cell_angle_beta 90.00
_cell_angle_gamma 90.00
loop_
_atom_site_label
_atom_site_type_symbol
_atom_site_fract_x
_atom_site_fract_y
_atom_site_fract_z
Cu1 Cu 0.000 0.000 0.000
Ni1 Ni 0.000 0.000 0.500
Pb1 Pb 0.500 0.500 0.259
```

Summary:
final energy = -16.09 eV for the cell shown



No. 3
# Cu2NiPb

A geometry-optimized Cu2NiPb structure (PBE, the Alexandria database).

Geometry as CIF:
```
data_Cu2NiPb
_chemical_formula_sum 'Cu2 Ni1 Pb1'
_symmetry_space_group_name_H-M 'P 1 2/m 1'
_symmetry_Int_Tables_number 10
_cell_length_a 3.075
_cell_length_b 4.197
_cell_length_c 5.107
_cell_angle_alpha 90.00
_cell_angle_beta 105.66
_cell_angle_gamma 90.00
loop_
_symmetry_equiv_pos_as_xyz
'x,y,z'
'-x,-y,-z'
'-x,y,-z'
'x,-y,z'
loop_
_atom_site_label
_atom_site_type_symbol
_atom_site_fract_x
_atom_site_fract_y
_atom_site_fract_z
Cu1 Cu 0.183 0.000 0.292
Ni1 Ni 0.000 0.500 0.500
Pb1 Pb 0.500 0.500 0.000
```

Summary:
final energy = -16.45 eV for the cell shown



No. 4
# CuNiPb2

A geometry-optimized CuNiPb2 structure (PBE, the Alexandria database).

Geometry as CIF:
```
data_CuNiPb2
_chemical_formula_sum 'Cu2 Ni2 Pb4'
_symmetry_space_group_name_H-M 'I -4 m 2'
_symmetry_Int_Tables_number 119
_symmetry_space_group_name_Hall 'I -4 -2'
_cell_length_a 3.965
_cell_length_b 3.965
_cell_length_c 10.379
_cell_angle_alpha 90.00
_cell_angle_beta 90.00
_cell_angle_gamma 90.00
loop_
_atom_site_label
_atom_site_type_symbol
_atom_site_fract_x
_atom_site_fract_y
_atom_site_fract_z
Cu1 Cu 0.000 0.000 0.000
Ni1 Ni 0.000 0.500 0.750
Pb1 Pb 0.000 0.000 0.500
Pb2 Pb 0.000 0.500 0.250
```

Summary:
final energy = -31.52 eV for the cell shown



| no. | total moment (μB per atom) | formation enthalpy at 0 K (meV/atom) | N(E_F) (states/eV/cell) |
| --- | --- | --- | --- |
| 1 | 0.000 | 212.6 | 23.56 |
| 2 | 0.000 | 301.1 | 0.57 |
| 3 | 0.000 | 308.5 | 2.51 |
| 4 | 0.000 | 383.0 | 4.05 |